[1]
A plane-wave DFT calculation with GGA-PBE was carried out for a geometry-optimized VAsCl structure.

Cell lengths 6.3409, 6.7408, 6.7743 Å; angles 98.87, 114.02, 98.95 degrees
Sites, in units of the cell vectors:
V  0.0000  0.0000  0.0000
V  0.0731  0.6357  0.8222
V  0.5293  0.6169  0.2305
V  0.6104  0.2475  0.0349
As  0.2177  0.7829  0.2147
As  0.3050  0.9443  0.8122
As  0.3790  0.4631  0.8345
As  0.7231  0.9350  0.1677
Cl  0.3751  0.2741  0.2695
Cl  0.7041  0.7362  0.6704
Cl  0.8492  0.2747  0.8308
Cl  0.9021  0.5025  0.3624

uncorrected formation energy	-42.4	kJ/mol of atoms
symmetry	No. 1

***

[2]
A plane-wave DFT calculation with GGA-PBE was carried out for a geometry-optimized TeRuSe2 structure.

Cell lengths 6.4986, 6.4986, 6.4986 Å; angles 148.10, 138.31, 53.43 degrees
Sites, in units of the cell vectors:
Te  0.0000  0.0000  0.0000
Ru  0.5000  0.5000  0.0000
Se  0.3450  0.8450  0.5000
Se  0.6550  0.1550  0.5000

uncorrected formation energy	13.8	kJ/mol of atoms
symmetry	No. 71

***

[3]
A plane-wave DFT calculation with GGA-PBE was carried out for a geometry-optimized MgZr2As2 structure.

Cell lengths 7.3907, 7.3907, 3.6040 Å; angles 90.00, 90.00, 90.00 degrees
Sites, in units of the cell vectors:
Mg  0.0000  0.0000  0.0000
Mg  0.5000  0.5000  0.0000
Zr  0.1459  0.3541  0.5000
Zr  0.3541  0.8541  0.5000
Zr  0.6459  0.1459  0.5000
Zr  0.8541  0.6459  0.5000
As  0.1487  0.6487  0.0000
As  0.3513  0.1487  0.0000
As  0.6487  0.8513  0.0000
As  0.8513  0.3513  0.0000

calculated formation energy	-0.832	eV per atom
symmetry	No. 127

***

[4]
A plane-wave DFT calculation with GGA-PBE was carried out for a geometry-optimized Tb2Pm3Th structure.

Cell lengths 6.2885, 6.2885, 11.6763 Å; angles 90.00, 90.00, 60.05 degrees
Sites, in units of the cell vectors:
Tb  0.0020  0.6659  0.7500
Tb  0.3341  0.9980  0.7500
Tb  0.6659  0.0020  0.2500
Tb  0.9980  0.3341  0.2500
Pm  0.0000  0.0000  0.0000
Pm  0.0000  0.0000  0.5000
Pm  0.3369  0.3369  0.0000
Pm  0.3369  0.3369  0.5000
Pm  0.6631  0.6631  0.0000
Pm  0.6631  0.6631  0.5000
Th  0.3330  0.6670  0.2500
Th  0.6670  0.3330  0.7500

calculated formation energy	0.039	eV per atom
symmetry	No. 63

***

Number 1: E -5.644 eV per atom, DOS(E_F) 5.6 states/eV per cell. Number 2: E -4.704 eV per atom, DOS(E_F) 5.2 states/eV per cell. Number 3: E -6.430 eV per atom, DOS(E_F) 3.9 states/eV per cell. Number 4: E -5.117 eV per atom, DOS(E_F) 15.9 states/eV per cell.